Record 1
Below is an optimized crystal structure of CuPt, with properties calculated at the PBE-GGA level.

Values from the calculation:
For the magnetic moment, the calculation gives 0.0 μB/f.u. Its energy of formation is -10.0 kJ/mol of atoms. For the density of states at the Fermi level, the calculation gives 0.85 states/eV per atom. Its space group is P2.

Lattice parameters (Å, degrees): 4.719 8.099 4.697 90.00 109.83 90.00
Fractional positions:
Pt (0.000, 0.659, 0.000)
Cu (0.000, 0.168, 0.500)
Cu (0.500, 0.497, 0.000)
Cu (0.500, 0.665, 0.500)
Cu (0.500, 0.170, 0.000)
Pt (0.500, 0.837, 0.000)
Cu (0.000, 0.328, 0.000)
Pt (0.000, 0.835, 0.500)
Cu (0.000, 0.005, 0.000)
Pt (0.500, 0.335, 0.500)
Pt (0.500, 0.008, 0.500)
Pt (0.000, 0.493, 0.500)



Record 2
Below is an optimized crystal structure of PuCd2F11, with properties calculated at the PBE-GGA level.

Values from the calculation:
For the magnetic moment, the calculation gives 3.0 μB/f.u. Its formation energy without anion corrections is -2.2240 eV/atom. For the density of states at the Fermi level, the calculation gives 0.51 states/eV per atom. Its space group is Ibam.

Lattice parameters (Å, degrees): 8.188 8.590 8.590 71.45 61.54 61.54
Last column: magnetic moment on the atom in μB.
Fractional positions:
Pu (0.250, 0.250, 0.250)  2.39
Cd (0.342, 0.305, 0.695)  0.00
Cd (0.842, 0.195, 0.805)  0.00
F (0.235, 0.333, 0.990)  -0.02
F (0.052, 0.566, 0.698)  -0.04
F (0.316, 0.302, 0.434)  -0.04
F (0.735, 0.490, 0.833)  -0.02
Cd (0.158, 0.805, 0.195)  0.00
F (0.113, 0.193, 0.807)  0.20
F (0.948, 0.434, 0.302)  -0.04
F (0.387, 0.693, 0.307)  0.20
Pu (0.750, 0.750, 0.750)  2.39
F (0.442, 0.990, 0.333)  -0.02
F (0.552, 0.198, 0.066)  -0.04
F (0.887, 0.807, 0.193)  0.20
F (0.558, 0.010, 0.667)  -0.02
F (0.500, 0.500, 0.500)  0.46
F (0.942, 0.833, 0.490)  -0.02
F (0.816, 0.934, 0.802)  -0.04
F (0.448, 0.802, 0.934)  -0.04
F (0.765, 0.667, 0.010)  -0.02
F (0.000, 0.000, 0.000)  0.46
F (0.265, 0.510, 0.167)  -0.02
F (0.684, 0.698, 0.566)  -0.04
Cd (0.658, 0.695, 0.305)  0.00
F (0.058, 0.167, 0.510)  -0.02
F (0.613, 0.307, 0.693)  0.20
F (0.184, 0.066, 0.198)  -0.04



Record 3
Below is an optimized crystal structure of BaNi2AsH2, with properties calculated at the PBE-GGA level.

Values from the calculation:
For the magnetic moment, the calculation gives 0.0 μB/f.u. The energy is -4.53 eV/atom. For the density of states at the Fermi level, the calculation gives 0.87 states/eV per atom. Its space group is P2_1/m.

Lattice parameters (Å, degrees): 5.073 6.266 6.787 108.07 90.00 90.00
Fractional positions:
As (0.250, 0.168, 0.909)
H (0.750, 0.338, 0.277)
Ba (0.250, 0.682, 0.318)
As (0.750, 0.832, 0.091)
Ni (0.502, 0.160, 0.191)
Ni (0.998, 0.160, 0.191)
H (0.750, 0.780, 0.642)
Ni (0.002, 0.840, 0.809)
Ni (0.498, 0.840, 0.809)
H (0.250, 0.662, 0.723)
H (0.250, 0.220, 0.358)
Ba (0.750, 0.318, 0.682)



Question: Which value of magnetic moment does entry 1 give?
Answer: 0.0 μB/f.u.